# PBE-GGA InIr, relaxed
# * space group: P4/nmm, No. 129
# * uncorrected energy: -5.59 eV per atom
data_InIr
_cell_length_a 2.9618
_cell_length_b 2.9618
_cell_length_c 8.4268
_cell_angle_alpha 90.00
_cell_angle_beta 90.00
_cell_angle_gamma 90.00
_space_group_name_H-M_alt 'P 1'
_space_group_IT_number 1
_space_group_name_Hall 'P 1'
loop_
_atom_site_label
_atom_site_type_symbol
_atom_site_fract_x
_atom_site_fract_y
_atom_site_fract_z
Ir1 Ir 0.7500 0.7500 0.3956
Ir2 Ir 0.2500 0.2500 0.6044
In1 In 0.2500 0.2500 0.1631
In2 In 0.7500 0.7500 0.8369